Record 1
Entry from Alexandria: crystalline PaAgAu at its relaxed geometry (GGA-PBE).

Properties
The calculation puts the magnetization at 0.00 μB/atom. The calculation puts the excess energy over the best structure of this formula in the dataset at 0.127 eV/atom. The formation energy from the elements comes out at -0.08 eV/atom.

Geometry as CIF:
```
data_PaAgAu
_space_group_name_H-M_alt 'P 1'
_space_group_IT_number 1
_space_group_name_Hall 'P 1'
_cell_length_a 4.5914
_cell_length_b 11.9100
_cell_length_c 4.5997
_cell_angle_alpha 90.00
_cell_angle_beta 90.00
_cell_angle_gamma 90.00
loop_
_atom_site_label
_atom_site_type_symbol
_atom_site_fract_x
_atom_site_fract_y
_atom_site_fract_z
_atom_site_occupancy
Pa1 Pa 0.0000 0.2480 0.2500 1
Pa2 Pa 0.0000 0.7520 0.7500 1
Pa3 Pa 0.5000 0.2520 0.7500 1
Pa4 Pa 0.5000 0.7480 0.2500 1
Ag1 Ag 0.0000 0.4302 0.7500 1
Ag2 Ag 0.0000 0.5698 0.2500 1
Ag3 Ag 0.5000 0.0698 0.2500 1
Ag4 Ag 0.5000 0.9302 0.7500 1
Au1 Au 0.0000 0.0794 0.7500 1
Au2 Au 0.0000 0.9206 0.2500 1
Au3 Au 0.5000 0.4206 0.2500 1
Au4 Au 0.5000 0.5794 0.7500 1
```



Record 2
Entry from Alexandria: crystalline OsS3I at its relaxed geometry (GGA-PBE).

Properties
The calculation puts the magnetization at 0.00 μB/atom. The calculation puts the excess energy over the best structure of this formula in the dataset at 0.000 eV/atom. The value obtained for the formation energy (no corrections) is 0.508 eV/atom.

Geometry as CIF:
```
data_OsS3I
_space_group_name_H-M_alt 'P 1'
_space_group_IT_number 1
_space_group_name_Hall 'P 1'
_cell_length_a 4.6684
_cell_length_b 4.6684
_cell_length_c 4.6684
_cell_angle_alpha 90.00
_cell_angle_beta 90.00
_cell_angle_gamma 90.00
loop_
_atom_site_label
_atom_site_type_symbol
_atom_site_fract_x
_atom_site_fract_y
_atom_site_fract_z
_atom_site_occupancy
Os1 Os 0.0000 0.0000 0.0000 1
S1 S 0.0000 0.0000 0.5000 1
S2 S 0.0000 0.5000 0.0000 1
S3 S 0.5000 0.0000 0.0000 1
I1 I 0.5000 0.5000 0.5000 1
```



Record 3
Entry from Alexandria: crystalline HfTl2PbF8 at its relaxed geometry (GGA-PBE).

Properties
The calculation puts the magnetization at 0.00 μB/atom. The value obtained for the formation energy (no corrections) is -2.758 eV/atom.

Geometry as CIF:
```
data_HfTl2PbF8
_space_group_name_H-M_alt 'P 1'
_space_group_IT_number 1
_space_group_name_Hall 'P 1'
_cell_length_a 3.8672
_cell_length_b 8.1504
_cell_length_c 6.7336
_cell_angle_alpha 90.00
_cell_angle_beta 90.94
_cell_angle_gamma 90.00
loop_
_atom_site_label
_atom_site_type_symbol
_atom_site_fract_x
_atom_site_fract_y
_atom_site_fract_z
_atom_site_occupancy
Hf1 Hf 0.0000 0.0000 0.0000 1
Tl1 Tl 0.5000 0.2469 0.5000 1
Tl2 Tl 0.5000 0.7531 0.5000 1
Pb1 Pb 0.0000 0.5000 0.0000 1
F1 F 0.0112 0.2003 0.8124 1
F2 F 0.0112 0.7997 0.8124 1
F3 F 0.4890 0.0000 0.1691 1
F4 F 0.4952 0.5000 0.7640 1
F5 F 0.5048 0.5000 0.2360 1
F6 F 0.5110 0.0000 0.8309 1
F7 F 0.9888 0.2003 0.1876 1
F8 F 0.9888 0.7997 0.1876 1
```



Record 4
Entry from Alexandria: crystalline LiCa3Pu2N6 at its relaxed geometry (GGA-PBE).

Properties
The calculation puts the magnetization at 0.42 μB/atom. The value obtained for the formation energy (no corrections) is -1.005 eV/atom.

Geometry as CIF:
```
data_LiCa3Pu2N6
_space_group_name_H-M_alt 'P 1'
_space_group_IT_number 1
_space_group_name_Hall 'P 1'
_cell_length_a 5.9441
_cell_length_b 5.9441
_cell_length_c 5.9078
_cell_angle_alpha 99.25
_cell_angle_beta 99.25
_cell_angle_gamma 120.52
loop_
_atom_site_label
_atom_site_type_symbol
_atom_site_fract_x
_atom_site_fract_y
_atom_site_fract_z
_atom_site_occupancy
Li1 Li 0.0000 0.0000 0.0000 1
Ca1 Ca 0.1582 0.8418 0.5000 1
Ca2 Ca 0.5000 0.5000 0.5000 1
Ca3 Ca 0.8418 0.1582 0.5000 1
Pu1 Pu 0.3337 0.6663 0.0000 1
Pu2 Pu 0.6663 0.3337 0.0000 1
N1 N 0.0786 0.4471 0.2154 1
N2 N 0.2904 0.2904 0.7812 1
N3 N 0.4471 0.0786 0.2154 1
N4 N 0.5529 0.9214 0.7846 1
N5 N 0.7096 0.7096 0.2188 1
N6 N 0.9214 0.5529 0.7846 1
```



Record 5
Entry from Alexandria: crystalline Gd3Dy at its relaxed geometry (GGA-PBE).

Properties
The calculation puts the magnetization at 5.84 μB/atom. The calculation puts the excess energy over the best structure of this formula in the dataset at 0.058 eV/atom. The formation energy from the elements comes out at 0.10 eV/atom.

Geometry as CIF:
```
data_Gd3Dy
_space_group_name_H-M_alt 'P 1'
_space_group_IT_number 1
_space_group_name_Hall 'P 1'
_cell_length_a 8.0323
_cell_length_b 8.0323
_cell_length_c 8.0323
_cell_angle_alpha 90.00
_cell_angle_beta 90.00
_cell_angle_gamma 90.00
loop_
_atom_site_label
_atom_site_type_symbol
_atom_site_fract_x
_atom_site_fract_y
_atom_site_fract_z
_atom_site_occupancy
Gd1 Gd 0.0000 0.0000 0.0000 1
Gd2 Gd 0.0000 0.5000 0.5000 1
Gd3 Gd 0.2500 0.2500 0.2500 1
Gd4 Gd 0.2500 0.2500 0.7500 1
Gd5 Gd 0.2500 0.7500 0.2500 1
Gd6 Gd 0.2500 0.7500 0.7500 1
Gd7 Gd 0.5000 0.0000 0.5000 1
Gd8 Gd 0.5000 0.5000 0.0000 1
Gd9 Gd 0.7500 0.2500 0.2500 1
Gd10 Gd 0.7500 0.2500 0.7500 1
Gd11 Gd 0.7500 0.7500 0.2500 1
Gd12 Gd 0.7500 0.7500 0.7500 1
Dy1 Dy 0.0000 0.0000 0.5000 1
Dy2 Dy 0.0000 0.5000 0.0000 1
Dy3 Dy 0.5000 0.0000 0.0000 1
Dy4 Dy 0.5000 0.5000 0.5000 1
```



Record 6
Entry from Alexandria: crystalline CaAsRu2 at its relaxed geometry (GGA-PBE).

Properties
The calculation puts the magnetization at 0.00 μB/atom. The formation energy from the elements comes out at 0.10 eV/atom.

Geometry as CIF:
```
data_CaAsRu2
_space_group_name_H-M_alt 'P 1'
_space_group_IT_number 1
_space_group_name_Hall 'P 1'
_cell_length_a 4.3949
_cell_length_b 4.3949
_cell_length_c 3.3148
_cell_angle_alpha 90.00
_cell_angle_beta 90.00
_cell_angle_gamma 90.00
loop_
_atom_site_label
_atom_site_type_symbol
_atom_site_fract_x
_atom_site_fract_y
_atom_site_fract_z
_atom_site_occupancy
Ca1 Ca 0.0000 0.0000 0.0000 1
As1 As 0.5000 0.5000 0.0000 1
Ru1 Ru 0.0000 0.5000 0.5000 1
Ru2 Ru 0.5000 0.0000 0.5000 1
```